Entry 1:
Compound: Dy5TlHg4
Source: Alexandria
Functional: PBE
Structure: relaxed

a = 3.731 Å, b = 3.731 Å, c = 18.748 Å
α = 90.00°, β = 90.00°, γ = 90.00°
Fractional coordinates of all 10 atoms:
Dy 0.000 0.000 0.000
Dy 0.000 0.000 0.198
Dy 0.000 0.000 0.394
Dy 0.000 0.000 0.606
Dy 0.000 0.000 0.802
Tl 0.500 0.500 0.500
Hg 0.500 0.500 0.100
Hg 0.500 0.500 0.296
Hg 0.500 0.500 0.704
Hg 0.500 0.500 0.900

Space group: P4/mmm

***

Entry 2:
Compound: Dy4TlHg2
Source: Alexandria
Functional: PBE
Structure: relaxed

a = 10.260 Å, b = 10.260 Å, c = 10.260 Å
α = 28.26°, β = 28.26°, γ = 28.26°
Fractional coordinates of all 7 atoms:
Dy 0.120 0.120 0.120
Dy 0.298 0.298 0.298
Dy 0.702 0.702 0.702
Dy 0.880 0.880 0.880
Tl 0.500 0.500 0.500
Hg 0.399 0.399 0.399
Hg 0.601 0.601 0.601

Space group: R-3m
Distance to the lowest polymorph of the same formula, meV per atom: 126

***

Entry 3:
Compound: Dy3TlHg3
Source: Alexandria
Functional: PBE
Structure: relaxed

a = 9.217 Å, b = 9.217 Å, c = 5.041 Å
α = 90.00°, β = 90.00°, γ = 120.00°
Fractional coordinates of all 14 atoms:
Dy 0.103 0.658 0.250
Dy 0.342 0.446 0.250
Dy 0.446 0.103 0.750
Dy 0.554 0.897 0.250
Dy 0.658 0.554 0.750
Dy 0.897 0.342 0.750
Tl 0.333 0.667 0.750
Tl 0.667 0.333 0.250
Hg 0.036 0.801 0.750
Hg 0.199 0.235 0.750
Hg 0.235 0.036 0.250
Hg 0.765 0.964 0.750
Hg 0.801 0.765 0.250
Hg 0.964 0.199 0.250

Space group: P6_3/m
Distance to the lowest polymorph of the same formula, meV per atom: 0

***

Entry 4:
Compound: DyTl2Hg
Source: Alexandria
Functional: PBE
Structure: relaxed

a = 5.327 Å, b = 5.327 Å, c = 5.327 Å
α = 60.31°, β = 60.31°, γ = 60.31°
Fractional coordinates of all 4 atoms:
Dy 0.000 0.000 0.000
Tl 0.250 0.250 0.250
Tl 0.501 0.501 0.501
Hg 0.751 0.751 0.751

Space group: R3m

***

Entry 5:
Compound: DyTmTlHg
Source: Alexandria
Functional: PBE
Structure: relaxed

a = 5.288 Å, b = 5.288 Å, c = 5.288 Å
α = 60.00°, β = 60.00°, γ = 60.00°
Fractional coordinates of all 4 atoms:
Dy 0.000 0.000 0.000
Tm 0.500 0.500 0.500
Tl 0.250 0.250 0.250
Hg 0.750 0.750 0.750

Space group: F-43m
Distance to the lowest polymorph of the same formula, meV per atom: 7

***

Entry 6:
Compound: DyTmTlHg
Source: Alexandria
Functional: PBE
Structure: relaxed

a = 3.742 Å, b = 3.742 Å, c = 7.466 Å
α = 90.00°, β = 90.00°, γ = 90.00°
Fractional coordinates of all 4 atoms:
Dy 0.000 0.000 0.000
Tm 0.000 0.000 0.482
Tl 0.500 0.500 0.738
Hg 0.500 0.500 0.248

Space group: P4mm
Distance to the lowest polymorph of the same formula, meV per atom: 0

***

Entry 7:
Compound: DyYTlHg
Source: Alexandria
Functional: PBE
Structure: relaxed

a = 5.321 Å, b = 5.321 Å, c = 5.321 Å
α = 60.00°, β = 60.00°, γ = 60.00°
Fractional coordinates of all 4 atoms:
Dy 0.000 0.000 0.000
Y 0.500 0.500 0.500
Tl 0.250 0.250 0.250
Hg 0.750 0.750 0.750

Space group: F-43m

***

Entry 8:
Compound: DyY2Tl2Hg2
Source: Alexandria
Functional: PBE
Structure: relaxed

a = 9.321 Å, b = 9.321 Å, c = 9.321 Å
α = 31.07°, β = 31.07°, γ = 31.07°
Fractional coordinates of all 7 atoms:
Dy 0.000 0.000 0.000
Y 0.132 0.132 0.132
Y 0.868 0.868 0.868
Tl 0.274 0.274 0.274
Tl 0.726 0.726 0.726
Hg 0.435 0.435 0.435
Hg 0.565 0.565 0.565

Space group: R-3m

***

Calculated energy of formation (meV/atom), listed in the same order as above: -454 -141 -321 -133 -393 -400 -427 -183
Calculated volume (Å³ per atom), listed in the same order as above: 26.10 30.56 26.49 26.91 26.14 26.14 26.63 27.35
Calculated electronic total energy (eV/atom), listed in the same order as above: -3.112 -3.195 -2.761 -2.542 -3.329 -3.335 -3.861 -3.449